# LiBeH2 PBE relaxed
data_LiBeH2
_chemical_formula_sum 'Li4 Be4 H8'
_cell_length_a 3.802
_cell_length_b 9.697
_cell_length_c 4.177
_cell_angle_alpha 90.00
_cell_angle_beta 90.00
_cell_angle_gamma 90.00
_symmetry_space_group_name_H-M 'P 1'
_symmetry_Int_Tables_number 1
_symmetry_space_group_name_Hall 'P 1'
loop_
_atom_site_label
_atom_site_type_symbol
_atom_site_fract_x
_atom_site_fract_y
_atom_site_fract_z
_atom_site_occupancy
Li1 Li 0.113 0.119 0.000 1
Li2 Li 0.387 0.619 0.500 1
Li3 Li 0.613 0.381 0.000 1
Li4 Li 0.887 0.881 0.500 1
Be1 Be 0.208 0.307 0.479 1
Be2 Be 0.292 0.807 0.979 1
Be3 Be 0.708 0.193 0.479 1
Be4 Be 0.792 0.693 0.979 1
H1 H 0.083 0.719 0.772 1
H2 H 0.193 0.942 0.888 1
H3 H 0.307 0.442 0.388 1
H4 H 0.417 0.219 0.272 1
H5 H 0.583 0.781 0.772 1
H6 H 0.693 0.558 0.888 1
H7 H 0.807 0.058 0.388 1
H8 H 0.917 0.281 0.272 1
# Volume = 9.63 Å³ per atom
# SG = Pna2_1 (33)
# Polymorph energy (0 for the lowest one) = 0 meV/atom